Compound: SbPBrO2
Source: Alexandria
Functional: GGA-PBE
Structure: relaxed

POSCAR file:
```
SbPBrO2
1.0
4.0027 0.0000 0.0000
0.0000 4.9947 0.0000
0.0000 0.0000 4.0027
O Sb Br P
2 1 1 1
direct
0.5000 0.0000 0.0000
0.0000 0.0000 0.5000
0.5000 0.5000 0.5000
0.0000 0.5000 0.0000
0.0000 0.0000 0.0000
```

Formation energy from raw total energies: 0.08 eV/atom
Energy above the most stable polymorph in this dataset: 0.389 eV/atom
SG: P4/mmm, No. 123